No. 1
The following is a PBE calculation of a relaxed structure of LaGaSn2Ru2, from Alexandria.

The structure in extended XYZ format:
```
6
Lattice="4.6614 0.0000 0.0000 0.0000 4.6614 0.0000 0.0000 0.0000 6.0762" Properties=species:S:1:pos:R:3 pbc="T T T"
Ga 0.0000 0.0000 0.0000
Sn 2.3307 2.3307 1.5842
La 0.0000 0.0000 3.0381
Ru 2.3307 0.0000 0.0000
Sn 2.3307 2.3307 4.4920
Ru 0.0000 2.3307 0.0000
```

VASP energy = -36.1 eV/cell
Space group = No. 123

***

No. 2
The following is a PBE calculation of a relaxed structure of La2GaSnRu, from Alexandria.

The structure in extended XYZ format:
```
5
Lattice="5.3891 0.0000 0.0000 0.0000 5.3891 0.0000 0.0000 0.0000 4.8801" Properties=species:S:1:pos:R:3 pbc="T T T"
Ga 0.0000 0.0000 2.4400
Sn 2.6945 2.6945 2.4400
Ru 0.0000 0.0000 0.0000
La 2.6945 0.0000 0.0000
La 0.0000 2.6945 0.0000
```

VASP energy = -28.5 eV/cell
Space group = No. 123

***

No. 3
The following is a PBE calculation of a relaxed structure of LaTbGaRu, from Alexandria.

The structure in extended XYZ format:
```
4
Lattice="5.0751 0.0000 0.0000 2.5376 4.3952 0.0000 2.5376 1.4651 4.1438" Properties=species:S:1:pos:R:3 pbc="T T T"
Ru 7.6127 4.3952 3.1079
La 5.0751 2.9301 2.0719
Tb 0.0000 0.0000 0.0000
Ga 2.5376 1.4651 1.0360
```

Energy above the lowest structure with this stoichiometry = 0.108 eV per atom
VASP energy = -23.3 eV/cell
Space group = No. 216

***

No. 4
The following is a PBE calculation of a relaxed structure of LaTbGaRu, from Alexandria.

The structure in extended XYZ format:
```
4
Lattice="-0.8042 -2.2409 -3.9751 2.8731 -2.5038 0.8302 -3.0853 -2.0540 4.4827" Properties=species:S:1:pos:R:3 pbc="T T T"
Tb -1.5429 -4.7184 0.2715
Ru -2.7828 -2.5331 1.9910
La -1.1639 -1.0594 0.8327
Ga 0.5836 -2.7828 -1.2499
```

Energy above the lowest structure with this stoichiometry = 0.000 eV per atom
VASP energy = -23.7 eV/cell
Space group = No. 38

***

No. 5
The following is a PBE calculation of a relaxed structure of LaTmGa2Ru2, from Alexandria.

The structure in extended XYZ format:
```
6
Lattice="4.3546 0.0000 0.0000 -2.1773 3.7712 0.0000 0.0000 0.0000 7.5409" Properties=species:S:1:pos:R:3 pbc="T T T"
Ru 0.0000 2.5141 5.4730
Tm 0.0000 0.0000 3.7704
Ru 2.1773 1.2571 2.0679
Ga 2.1773 1.2571 5.4039
La 0.0000 0.0000 0.0000
Ga 0.0000 2.5141 2.1370
```

VASP energy = -36.9 eV/cell
Space group = No. 164

***

No. 6
The following is a PBE calculation of a relaxed structure of LaVGaRu2, from Alexandria.

The structure in extended XYZ format:
```
5
Lattice="4.7833 0.0000 0.0000 0.0000 4.7833 0.0000 0.0000 0.0000 5.4281" Properties=species:S:1:pos:R:3 pbc="T T T"
Ru 0.0000 2.3916 0.0000
La 0.0000 0.0000 0.0000
Ga 0.0000 0.0000 2.7140
Ru 2.3916 0.0000 0.0000
V 2.3916 2.3916 2.7140
```

VASP energy = -27.3 eV/cell
Space group = No. 123

***

No. 7
The following is a PBE calculation of a relaxed structure of LaYGaRu, from Alexandria.

The structure in extended XYZ format:
```
4
Lattice="-5.0127 -0.7663 0.1096 -2.0790 -2.6435 3.7969 -2.8509 2.3588 3.4692" Properties=species:S:1:pos:R:3 pbc="T T T"
La 0.0000 0.0000 0.0000
Ga -2.4856 -0.2628 1.8439
Y -4.9713 -0.5255 3.6878
Ru -7.4569 -0.7883 5.5317
```

VASP energy = -25.1 eV/cell
Space group = No. 216

***

No. 8
The following is a PBE calculation of a relaxed structure of LaYGa2Ru2, from Alexandria.

The structure in extended XYZ format:
```
6
Lattice="4.3382 0.0000 0.0000 -2.1691 3.7570 0.0000 0.0000 0.0000 7.7657" Properties=species:S:1:pos:R:3 pbc="T T T"
Ga 2.1691 1.2523 5.6420
La 0.0000 0.0000 0.0000
Ga 0.0000 2.5047 2.1237
Ru 2.1691 1.2523 2.0423
Y 0.0000 0.0000 3.8828
Ru 0.0000 2.5047 5.7234
```

VASP energy = -38.8 eV/cell
Space group = No. 164

***

No. 9
The following is a PBE calculation of a relaxed structure of La2ZnGaRu, from Alexandria.

The structure in extended XYZ format:
```
5
Lattice="-0.2665 4.1213 -3.5171 -4.6108 -2.0218 -2.0197 -2.5592 2.5996 3.2401" Properties=species:S:1:pos:R:3 pbc="T T T"
Ga -1.2796 1.2998 1.6201
La -2.3054 -1.0109 -1.0098
La -0.1332 2.0607 -1.7586
Ru 0.0000 0.0000 0.0000
Zn -3.7183 2.3496 -1.1483
```

VASP energy = -24.7 eV/cell
Space group = No. 123

***

No. 10
The following is a PBE calculation of a relaxed structure of LaZn2GaRu2, from Alexandria.

The structure in extended XYZ format:
```
6
Lattice="-0.2918 3.9461 -2.3899 -3.6545 1.2638 2.5330 3.4766 2.5304 3.7535" Properties=species:S:1:pos:R:3 pbc="T T T"
Ru -1.8273 0.6319 1.2665
Zn -1.1332 3.2163 0.9783
Ga 0.0000 0.0000 0.0000
Ru -0.1459 1.9731 -1.1950
La 1.7383 1.2652 1.8767
Zn 0.6635 4.5240 2.9182
```

VASP energy = -29.2 eV/cell
Space group = No. 123

***

No. 11
The following is a PBE calculation of a relaxed structure of LaZn2GaRu, from Alexandria.

The structure in extended XYZ format:
```
5
Lattice="-4.5577 -1.3447 -0.7138 1.4592 -3.2165 -3.2582 0.4272 -3.2551 3.4047" Properties=species:S:1:pos:R:3 pbc="T T T"
Zn 0.7296 -1.6082 -1.6291
Zn -2.2789 -0.6723 -0.3569
La -1.3357 -3.9081 -0.2836
Ga 0.2136 -1.6275 1.7024
Ru 0.0000 0.0000 0.0000
```

VASP energy = -21.2 eV/cell
Space group = No. 123

***

No. 12
The following is a PBE calculation of a relaxed structure of La2Zn6GaRu, from Alexandria.

The structure in extended XYZ format:
```
20
Lattice="-3.9423 -3.6411 -4.4751 5.1871 -4.2275 -1.1299 -2.7615 -5.1608 6.6318" Properties=species:S:1:pos:R:3 pbc="T T T"
Zn 3.2278 -4.4954 0.8141
La -0.0445 -8.8271 1.7660
Zn -2.0400 -6.7542 -0.2066
Ru 4.8224 -3.9302 -1.0504
Zn 0.2201 -9.5470 -1.4388
Ru -2.9872 -4.6982 0.9989
Zn 2.3981 -3.2385 -1.5216
La 1.2451 -6.4170 -1.3310
La -0.8819 -4.9622 4.8143
Zn 2.7909 -7.1726 1.4795
La 0.5900 -2.2114 1.2795
Zn -0.5629 -5.3899 1.4701
Ga 1.5612 -4.9782 2.6751
Zn -2.7822 -6.7299 2.4715
Zn -2.3272 -2.7225 -3.0877
Zn 1.8559 -7.0593 4.1089
Zn -1.3927 -4.1331 -0.8656
Zn -0.9558 -1.4559 -1.5309
Ga 0.2739 -3.6503 -2.7266
Zn -0.0671 -5.5153 -4.3199
```

VASP energy = -64.4 eV/cell
Space group = No. 59

***

No. 13
The following is a PBE calculation of a relaxed structure of LaGaS3, from Alexandria.

The structure in extended XYZ format:
```
10
Lattice="4.3311 -0.0009 -0.0005 0.1237 7.5790 0.2655 0.1233 2.1645 7.2685" Properties=species:S:1:pos:R:3 pbc="T T T"
La 2.2450 5.8120 1.3552
Ga 3.3815 6.3592 5.2987
S 4.2905 0.1889 0.3956
S 4.4139 5.6332 3.4229
S 2.3479 8.3568 5.5288
La 4.3933 2.7341 4.5698
S 2.2716 4.3669 5.8322
Ga 3.2578 2.1867 0.6262
S 4.4903 6.3437 7.3614
S 2.2244 2.9122 2.5019
```

Energy above the lowest structure with this stoichiometry = 0.058 eV per atom
VASP energy = -54.6 eV/cell
Space group = No. 12
Raw formation energy = -1.396 eV/atom